! GGA-PBE Ac3Ce2SmSe6, optimized geometry; values from VASP
&SYSTEM
  ibrav = 0, nat = 12, ntyp = 4
/
ATOMIC_SPECIES
Ac 227.00 Ac.upf
Ce 140.12 Ce.upf
Sm 150.36 Sm.upf
Se 78.96 Se.upf
ATOMIC_POSITIONS angstrom
Ac -1.2253 -5.1239 3.1281
Ac -2.0524 3.3201 4.7229
Ac -1.6388 -0.9019 3.9255
Ce -3.4198 -2.6017 0.3366
Ce -3.8327 1.6138 1.1327
Sm 0.0000 0.0000 0.0000
Se -2.6422 0.7280 6.4096
Se -4.4836 -0.9260 2.5774
Se -0.6355 -2.5319 1.4413
Se -2.2303 -3.4765 5.6156
Se 1.2059 -0.8779 5.2736
Se -1.0473 1.6726 2.2354
CELL_PARAMETERS angstrom
-4.2465 5.8378 1.9305
-3.0060 -6.8257 -0.4612
3.9749 -0.8159 6.3816
! Uncorrected energy ... -5.98 eV per atom
! ρ ... 7.63 Mg/m³
! D(E_F) ... 16.409 states/eV/f.u.
! Energy relative to the elements, uncorrected ... -1.832 eV per atom